## 1
A relaxed structure of SmMg2Bi, computed with GGA-PBE.

Calculated values
Fermi-level density of states = 0.708 states/eV/atom
total moment = 0.0 μB per formula unit

a = 4.6227 Å, b = 4.6227 Å, c = 5.0088 Å
α = 90.00°, β = 90.00°, γ = 90.00°
Space group P4/mmm (No. 123)
Symmetry-distinct sites (fractional):
Sm (0.0000, 0.0000, 0.0000) [1 per cell]
Mg (0.0000, 0.5000, 0.5000) [2 per cell]
Bi (0.5000, 0.5000, 0.0000) [1 per cell]


## 2
A relaxed structure of SmMg2Bi, computed with GGA-PBE.

Calculated values
Fermi-level density of states = 0.505 states/eV/atom
total moment = 0.0 μB per formula unit

a = 3.4106 Å, b = 3.4106 Å, c = 34.9654 Å
α = 90.00°, β = 90.00°, γ = 120.00°
Space group R-3m (No. 166, hexagonal axes)
Symmetry-distinct sites (fractional):
Sm (0.0000, 0.0000, 0.0000) [3 per cell]
Mg (0.0000, 0.0000, 0.0914) [6 per cell]
Bi (0.0000, 0.0000, 0.5000) [3 per cell]


1 (529 meV/atom below the next structure)